Rb2VF6: relaxed, GGA+U.

Unit cell a=6.179 b=6.179 c=6.179 alpha=60.00 beta=60.00 gamma=60.00
Sites, in units of the cell vectors:
Rb: 0.250 0.250 0.250
Rb: 0.750 0.750 0.750
V: 0.000 0.000 0.000
F: 0.216 0.216 0.784
F: 0.216 0.784 0.216
F: 0.216 0.784 0.784
F: 0.784 0.216 0.216
F: 0.784 0.216 0.784
F: 0.784 0.784 0.216

Calculated values
Raw total energy (Ry per atom): -0.3741